This record from Alexandria via LeMat-Bulk describes crystalline PdPbBr3 at its relaxed geometry. The functional is PBE.

a = 5.1971 Å, b = 5.1971 Å, c = 5.1971 Å
α = 90.00°, β = 90.00°, γ = 90.00°
Sites, in units of the cell vectors:
Br  0.5000  0.0000  0.0000
Br  0.0000  0.0000  0.5000
Pb  0.5000  0.5000  0.5000
Br  0.0000  0.5000  0.0000
Pd  0.0000  0.0000  0.0000

Results
VASP energy = -0.114 hartree per atom
E_form (uncorrected) = -315 meV per atom
ρ = 6.55 g/cm³
total magnetic moment = 0.0 μB/f.u.



This record from Alexandria via LeMat-Bulk describes crystalline Sr2DyCdHg6 at its relaxed geometry. The functional is PBE.

a = 7.9395 Å, b = 7.9395 Å, c = 7.9395 Å
α = 60.00°, β = 60.00°, γ = 90.00°
Sites, in units of the cell vectors:
Hg  0.7543  0.2457  0.0000
Cd  0.0000  0.0000  0.0000
Sr  0.7500  0.2500  0.5000
Hg  0.2457  0.2457  0.0000
Hg  0.7543  0.7543  0.4914
Hg  0.7543  0.7543  0.0000
Sr  0.2500  0.7500  0.5000
Hg  0.2457  0.7543  0.0000
Hg  0.2457  0.2457  0.5086
Dy  0.5000  0.5000  0.0000

Results
VASP energy = -0.044 hartree per atom
ρ = 7.76 g/cm³
ΔH_f (0 K) = -0.115 eV/atom
total magnetic moment = 0.0 μB/f.u.



This record from Alexandria via LeMat-Bulk describes crystalline Pr2RuI at its relaxed geometry. The functional is PBE.

a = 3.6018 Å, b = 3.6018 Å, c = 8.5506 Å
α = 90.00°, β = 90.00°, γ = 90.00°
Each line ends with the local moment (μB).
Sites, in units of the cell vectors:
Pr  0.0000  0.0000  0.2018  -0.01
I  0.5000  0.5000  0.5000  0.00
Pr  0.0000  0.0000  0.7982  -0.01
Ru  0.5000  0.5000  0.0000  0.08

Results
VASP energy = -0.206 hartree per atom
E_form (uncorrected) = -519 meV per atom
ρ = 7.63 g/cm³
total magnetic moment = 0.1 μB/f.u.



This record from Alexandria via LeMat-Bulk describes crystalline YSi2SbTe at its relaxed geometry. The functional is PBE.

a = 5.1094 Å, b = 5.6945 Å, c = 5.1094 Å
α = 90.00°, β = 90.00°, γ = 90.00°
Sites, in units of the cell vectors:
Si  0.0000  0.0000  0.5000
Te  0.0000  0.0000  0.0000
Y  0.5000  0.5000  0.5000
Sb  0.0000  0.5000  0.0000
Si  0.5000  0.0000  0.0000

Results
VASP energy = -0.153 hartree per atom
E_form (uncorrected) = 758 meV per atom
ρ = 4.41 g/cm³
total magnetic moment = 0.0 μB/f.u.



This record from Alexandria via LeMat-Bulk describes crystalline Ac2AlPd6 at its relaxed geometry. The functional is PBE.

a = 5.9787 Å, b = 5.9447 Å, c = 5.9447 Å
α = 59.99°, β = 90.00°, γ = 90.00°
Sites, in units of the cell vectors:
Pd  0.6934  0.1694  0.6615
Ac  0.7984  0.6667  0.6667
Pd  0.3066  0.8306  0.3385
Pd  0.6934  0.6615  0.1694
Pd  0.3066  0.8306  0.8306
Al  0.0000  0.0000  0.0000
Pd  0.3066  0.3385  0.8306
Ac  0.2016  0.3333  0.3333
Pd  0.6934  0.1694  0.1694

Results
VASP energy = -0.206 hartree per atom
ρ = 10.16 g/cm³
ΔH_f (0 K) = -0.823 eV/atom
total magnetic moment = 0.0 μB/f.u.



This record from Alexandria via LeMat-Bulk describes crystalline Ac2Pr2Ho7 at its relaxed geometry. The functional is PBE.

a = 9.9387 Å, b = 5.7516 Å, c = 9.0651 Å
α = 50.69°, β = 77.28°, γ = 90.22°
Sites, in units of the cell vectors:
Ho  0.1856  0.6444  0.3554
Ho  0.8144  0.3556  0.6446
Ac  0.0419  0.7778  0.7217
Ho  0.0000  0.0000  0.0000
Ho  0.6878  0.4870  0.0147
Ac  0.9581  0.2222  0.2783
Pr  0.4082  0.2360  0.7626
Pr  0.5918  0.7640  0.2374
Ho  0.6251  0.9252  0.5746
Ho  0.3122  0.5130  0.9853
Ho  0.3749  0.0748  0.4254

Results
VASP energy = -0.159 hartree per atom
ρ = 8.17 g/cm³
ΔH_f (0 K) = 0.206 eV/atom
total magnetic moment = 0.0 μB/f.u.